Here is crystalline LiNiAu3 at its relaxed geometry from the Alexandria database. Energies are from GGA-PBE.

## Properties
Formation energy in meV per atom: 306
Space group: No. 221
Electronic total energy in eV for the cell shown: -16.0
Magnetization in μB/atom: 0.0000

Structure (POSCAR):
```
LiNiAu3
1.0
4.814 0.000 0.000
0.000 4.814 0.000
0.000 0.000 4.814
Au Li Ni
3 1 1
Direct
0.000 0.000 0.500
0.500 0.000 0.000
0.000 0.500 0.000
0.500 0.500 0.500
0.000 0.000 0.000
```

---

Here is crystalline LiNiAu at its relaxed geometry from the Alexandria database. Energies are from GGA-PBE.

## Properties
Formation energy in meV per atom: 112
Space group: No. 216
Excess energy over the best structure of this formula in the dataset in eV per formula unit: 1.046
Electronic total energy in eV for the cell shown: -10.6
Magnetization in μB/atom: 0.0061

Structure (POSCAR):
```
LiNiAu
1.0
-1.194 -3.919 0.421
2.804 -3.016 0.022
0.808 -2.035 3.488
Au Li Ni
1 1 1
Direct
0.000 0.000 0.000
0.500 0.500 0.500
0.750 0.750 0.750
```

---

Here is crystalline LiNiAu2 at its relaxed geometry from the Alexandria database. Energies are from GGA-PBE.

## Properties
Formation energy in meV per atom: -91
Space group: No. 99
Electronic total energy in eV for the cell shown: -14.6
Magnetization in μB/atom: 0.0000

Structure (POSCAR):
```
LiNiAu2
1.0
3.258 0.000 0.000
0.000 3.258 0.000
0.000 0.000 5.696
Au Li Ni
2 1 1
Direct
0.000 0.000 0.968
0.500 0.500 0.280
0.000 0.000 0.507
0.500 0.500 0.745
```

---

Here is crystalline LiNi2Au at its relaxed geometry from the Alexandria database. Energies are from GGA-PBE.

## Properties
Formation energy in meV per atom: -54
Space group: No. 25
Electronic total energy in eV for the cell shown: -17.0
Magnetization in μB/atom: 0.2647

Structure (POSCAR):
```
LiNi2Au
1.0
-2.999 -1.393 1.381
1.124 0.007 2.447
-0.791 4.987 3.312
Ni Au Li
2 1 1
Direct
0.000 0.980 0.019
0.500 0.287 0.212
0.000 0.491 0.509
0.500 0.741 0.760
```

---

Here is crystalline LiNiAu at its relaxed geometry from the Alexandria database. Energies are from GGA-PBE.

## Properties
Formation energy in meV per atom: -9
Space group: No. 187
Excess energy over the best structure of this formula in the dataset in eV per formula unit: 0.682
Electronic total energy in eV for the cell shown: -22.0
Magnetization in μB/atom: 0.0187

Structure (POSCAR):
```
LiNiAu
1.0
2.762 0.000 0.000
-1.381 2.393 0.000
0.000 0.000 13.065
Au Ni Li
2 2 2
Direct
0.278 0.555 0.830
0.278 0.555 0.170
0.611 0.222 0.657
0.611 0.222 0.343
0.278 0.556 0.500
0.611 0.222 0.000
```

---

Here is crystalline LiNiAu at its relaxed geometry from the Alexandria database. Energies are from GGA-PBE.

## Properties
Formation energy in meV per atom: -232
Space group: No. 1
Excess energy over the best structure of this formula in the dataset in eV per formula unit: 0.013
Electronic total energy in eV for the cell shown: -23.3
Magnetization in μB/atom: 0.0000

Structure (POSCAR):
```
LiNiAu
1.0
-2.068 -3.522 2.090
4.581 0.366 0.138
-0.871 4.396 2.474
Ni Li Au
2 2 2
Direct
0.741 0.983 0.954
0.402 0.319 0.951
0.437 0.183 0.452
0.109 0.513 0.455
0.069 0.648 0.953
0.778 0.854 0.452
```

---

Here is crystalline LiNi2Au2 at its relaxed geometry from the Alexandria database. Energies are from GGA-PBE.

## Properties
Formation energy in meV per atom: -7
Space group: No. 127
Excess energy over the best structure of this formula in the dataset in eV per formula unit: 0.142
Electronic total energy in eV for the cell shown: -40.1
Magnetization in μB/atom: 0.1127

Structure (POSCAR):
```
LiNi2Au2
1.0
7.556 0.000 0.000
0.000 7.556 0.000
0.000 0.000 2.741
Au Ni Li
4 4 2
Direct
0.181 0.319 0.000
0.819 0.681 0.000
0.319 0.819 0.000
0.681 0.181 0.000
0.615 0.885 0.500
0.385 0.115 0.500
0.885 0.385 0.500
0.115 0.615 0.500
0.500 0.500 0.000
0.000 0.000 0.000
```

---

Here is crystalline LiNi2Au at its relaxed geometry from the Alexandria database. Energies are from GGA-PBE.

## Properties
Formation energy in meV per atom: 169
Space group: No. 122
Electronic total energy in eV for the cell shown: -32.2
Magnetization in μB/atom: 0.1064

Structure (POSCAR):
```
LiNi2Au
1.0
-2.589 1.305 1.935
-0.961 -3.230 0.893
3.757 -0.624 8.588
Au Ni Li
2 4 2
Direct
0.750 0.250 0.500
0.000 0.000 0.000
0.130 0.625 0.250
0.875 0.870 0.750
0.620 0.125 0.250
0.375 0.380 0.750
0.250 0.750 0.500
0.500 0.500 0.000
```

---

Here is crystalline LiNi2Au2 at its relaxed geometry from the Alexandria database. Energies are from GGA-PBE.

## Properties
Formation energy in meV per atom: 26
Space group: No. 139
Excess energy over the best structure of this formula in the dataset in eV per formula unit: 0.312
Electronic total energy in eV for the cell shown: -19.9
Magnetization in μB/atom: 0.1859

Structure (POSCAR):
```
LiNi2Au2
1.0
3.372 0.000 0.000
0.000 3.372 0.000
1.686 1.686 6.826
Au Ni Li
2 2 1
Direct
0.400 0.400 0.200
0.600 0.600 0.800
0.750 0.250 0.500
0.250 0.750 0.500
0.000 0.000 0.000
```

---

Here is crystalline LiNiAu2 at its relaxed geometry from the Alexandria database. Energies are from GGA-PBE.

## Properties
Formation energy in meV per atom: -94
Space group: No. 216
Electronic total energy in eV for the cell shown: -14.6
Magnetization in μB/atom: 0.0000

Structure (POSCAR):
```
LiNiAu2
1.0
-1.365 -1.242 -4.030
1.829 -3.523 -1.971
-2.344 -3.729 -0.494
Ni Li Au
1 1 2
Direct
0.750 0.750 0.750
0.500 0.500 0.500
0.000 0.000 0.000
0.250 0.250 0.250
```

---

Here is crystalline LiNi4Au at its relaxed geometry from the Alexandria database. Energies are from GGA-PBE.

## Properties
Formation energy in meV per atom: -14
Space group: No. 216
Electronic total energy in eV for the cell shown: -28.4
Magnetization in μB/atom: 0.0000

Structure (POSCAR):
```
LiNi4Au
1.0
0.000 3.359 3.359
3.359 0.000 3.359
3.359 3.359 0.000
Ni Li Au
4 1 1
Direct
0.876 0.375 0.375
0.375 0.375 0.375
0.375 0.375 0.876
0.375 0.876 0.375
0.000 0.000 0.000
0.750 0.750 0.750
```

---

Here is crystalline LiNiAu2 at its relaxed geometry from the Alexandria database. Energies are from GGA-PBE.

## Properties
Formation energy in meV per atom: -77
Space group: No. 166
Electronic total energy in eV for the cell shown: -14.6
Magnetization in μB/atom: 0.0001

Structure (POSCAR):
```
LiNiAu2
1.0
-4.394 -7.700 -0.379
-1.756 -8.698 -0.028
-3.296 -7.930 2.234
Au Ni Li
2 1 1
Direct
0.499 0.499 0.499
0.001 0.001 0.001
0.750 0.750 0.750
0.250 0.250 0.250
```